Entry 1:
Tb2CuPd | PBE | optimized geometry

Geometry as extended XYZ:
```
4
Lattice="3.304 0.000 0.000 1.652 2.861 0.000 1.652 0.954 9.786" Properties=species:S:1:pos:R:3 pbc="T T T"
Tb 1.652 0.954 7.136
Pd 0.000 0.000 0.000
Cu 3.304 1.907 4.893
Tb 4.955 2.861 2.651
```

Volume = 92 Å³/cell
Energy of formation = 101.1 meV/atom
Magnetic moment = 0.00 μB/atom

---

Entry 2:
Tb2CuPd | PBE | optimized geometry

Geometry as extended XYZ:
```
8
Lattice="4.576 0.000 0.000 0.000 5.552 0.098 0.000 -2.641 7.006" Properties=species:S:1:pos:R:3 pbc="T T T"
Tb 3.432 -1.224 6.549
Tb 3.432 0.095 3.035
Pd 3.432 1.568 5.579
Cu 3.432 2.873 2.102
Tb 1.144 4.135 0.556
Tb 1.144 2.815 4.070
Cu 1.144 0.038 5.003
Pd 1.144 1.342 1.525
```

Volume = 179 Å³/cell
Energy of formation = -591.4 meV/atom
Magnetic moment = 0.00 μB/atom